Entry w
5
Lattice="4.918 0.000 0.000 0.000 4.918 0.000 0.000 0.000 4.918" Properties=species:S:1:pos:R:3 comment="RbMoW3, optimized geometry, DFT PBE" space_group=Pm-3m vol_a3_per_atom=23.8 pbc="T T T"
Rb 0.000 0.000 0.000
Mo 2.459 2.459 2.459
W 0.000 2.459 2.459
W 2.459 0.000 2.459
W 2.459 2.459 0.000

---

Entry x
5
Lattice="4.618 0.000 0.000 0.000 4.618 0.000 0.000 0.000 4.618" Properties=species:S:1:pos:R:3 comment="RbMoW3, optimized geometry, DFT PBE" space_group=Pm-3m vol_a3_per_atom=19.7 pbc="T T T"
Rb 0.000 0.000 0.000
Mo 2.309 2.309 2.309
W 0.000 0.000 2.309
W 0.000 2.309 0.000
W 2.309 0.000 0.000

---

Relative energies with respect to the most stable structure, expressed in eV/atom: entry w 0.000; entry x 1.641.

---

Entry w
8
Lattice="-6.641 6.641 2.600 6.641 -6.641 2.600 6.641 6.641 -2.600" Properties=species:S:1:pos:R:3 comment="Rb2YMo, optimized geometry, DFT PBE" space_group=I-42d vol_a3_per_atom=57.3 pbc="T T T"
Rb 1.424 3.320 0.650
Rb -3.320 5.217 1.950
Rb -1.424 9.961 0.650
Rb 3.320 8.065 1.950
Y 6.641 0.000 1.300
Y 0.000 0.000 2.600
Mo 0.000 0.000 0.000
Mo 0.000 6.641 1.300

---

Entry x
4
Lattice="0.000 4.329 4.329 4.329 0.000 4.329 4.329 4.329 0.000" Properties=species:S:1:pos:R:3 comment="Rb2YMo, optimized geometry, DFT PBE" space_group=Fm-3m vol_a3_per_atom=40.6 pbc="T T T"
Rb 2.165 2.165 2.165
Rb 6.494 6.494 6.494
Y 0.000 0.000 0.000
Mo 4.329 4.329 4.329

---

Relative energies with respect to the most stable structure, expressed in eV/atom: entry w 0.000; entry x 0.329.

---

Entry w
5
Lattice="6.266 0.000 0.000 0.000 6.266 0.000 0.000 0.000 6.266" Properties=species:S:1:pos:R:3 comment="Rb3YMo, optimized geometry, DFT PBE" space_group=Pm-3m vol_a3_per_atom=49.2 pbc="T T T"
Rb 0.000 0.000 3.133
Rb 0.000 3.133 0.000
Rb 3.133 0.000 0.000
Y 3.133 3.133 3.133
Mo 0.000 0.000 0.000

---

Entry x
5
Lattice="7.335 0.000 0.000 0.000 7.335 0.000 0.000 0.000 7.335" Properties=species:S:1:pos:R:3 comment="Rb3YMo, optimized geometry, DFT PBE" space_group=Pm-3m vol_a3_per_atom=78.9 pbc="T T T"
Rb 0.000 0.000 3.667
Rb 0.000 3.667 0.000
Rb 3.667 0.000 0.000
Y 0.000 0.000 0.000
Mo 3.667 3.667 3.667

---

Relative energies with respect to the most stable structure, expressed in eV/atom: entry w 0.066; entry x 0.000.

---

Entry w
8
Lattice="-2.367 2.367 9.826 2.367 -2.367 9.826 2.367 2.367 -9.826" Properties=species:S:1:pos:R:3 comment="RbZrMo2, optimized geometry, DFT PBE" space_group=I-42d vol_a3_per_atom=27.5 pbc="T T T"
Rb 0.000 0.000 0.000
Rb 0.000 2.367 4.913
Zr 2.367 0.000 4.913
Zr 0.000 0.000 9.826
Mo 1.183 -0.407 7.370
Mo 1.960 1.183 2.457
Mo 1.183 2.774 -2.457
Mo 0.407 1.183 12.283

---

Entry x
4
Lattice="0.000 3.481 3.481 3.481 0.000 3.481 3.481 3.481 0.000" Properties=species:S:1:pos:R:3 comment="RbZrMo2, optimized geometry, DFT PBE" space_group=Fm-3m vol_a3_per_atom=21.1 pbc="T T T"
Rb 0.000 0.000 0.000
Zr 3.481 3.481 3.481
Mo 1.741 1.741 1.741
Mo 5.222 5.222 5.222

---

Relative energies with respect to the most stable structure, expressed in eV/atom: entry w 0.000; entry x 0.007.

---

Entry w
5
Lattice="5.270 0.000 0.000 0.000 5.270 0.000 0.000 0.000 5.270" Properties=species:S:1:pos:R:3 comment="RbZr3Mo, optimized geometry, DFT PBE" space_group=Pm-3m vol_a3_per_atom=29.3 pbc="T T T"
Rb 0.000 0.000 0.000
Zr 0.000 2.635 2.635
Zr 2.635 0.000 2.635
Zr 2.635 2.635 0.000
Mo 2.635 2.635 2.635

---

Entry x
5
Lattice="4.940 0.000 0.000 0.000 4.940 0.000 0.000 0.000 4.940" Properties=species:S:1:pos:R:3 comment="RbZr3Mo, optimized geometry, DFT PBE" space_group=Pm-3m vol_a3_per_atom=24.1 pbc="T T T"
Rb 0.000 0.000 0.000
Zr 0.000 0.000 2.470
Zr 0.000 2.470 0.000
Zr 2.470 0.000 0.000
Mo 2.470 2.470 2.470

---

Relative energies with respect to the most stable structure, expressed in eV/atom: entry w 0.000; entry x 1.522.

---

Entry w
7
Lattice="-1.568 1.568 10.974 1.568 -1.568 10.974 1.568 1.568 -10.974" Properties=species:S:1:pos:R:3 comment="Re4Mo3, optimized geometry, DFT PBE" space_group=I4/mmm vol_a3_per_atom=15.4 pbc="T T T"
Re 0.000 0.000 1.544
Re 0.000 0.000 7.815
Re 0.000 0.000 14.133
Re 0.000 0.000 20.404
Mo 0.000 0.000 4.692
Mo 0.000 0.000 10.974
Mo 0.000 0.000 17.255

---

Entry x
7
Lattice="4.994 0.000 0.000 -2.497 4.325 0.000 0.000 0.000 5.077" Properties=species:S:1:pos:R:3 comment="Re4Mo3, optimized geometry, DFT PBE" space_group=P6/mmm vol_a3_per_atom=15.7 pbc="T T T"
Re 0.000 0.000 1.188
Re 0.000 0.000 3.889
Re 0.000 2.883 0.000
Re 2.497 1.442 0.000
Mo -1.248 2.162 2.538
Mo 2.497 0.000 2.538
Mo 1.248 2.162 2.538

---

Relative energies with respect to the most stable structure, expressed in eV/atom: entry w 0.000; entry x 0.123.

---

Entry w
16
Lattice="7.619 0.000 0.000 -3.809 6.598 0.000 0.000 0.000 5.133" Properties=species:S:1:pos:R:3 comment="Re3Mo5, optimized geometry, DFT PBE" space_group=P6_3/mcm vol_a3_per_atom=16.1 pbc="T T T"
Re -1.537 2.662 1.283
Re -2.273 3.936 3.850
Re 3.073 0.000 1.283
Re 1.537 2.662 3.850
Re 4.545 0.000 3.850
Re 2.273 3.936 1.283
Mo -0.889 1.540 3.850
Mo -2.920 5.058 1.283
Mo 1.779 0.000 3.850
Mo 0.889 1.540 1.283
Mo 0.000 4.399 0.000
Mo 0.000 4.399 2.567
Mo 3.809 2.199 0.000
Mo 3.809 2.199 2.567
Mo 5.840 0.000 1.283
Mo 2.920 5.058 3.850

---

Entry x
16
Lattice="4.952 0.000 0.000 2.308 7.176 0.000 2.297 -0.029 7.180" Properties=species:S:1:pos:R:3 comment="Re3Mo5, optimized geometry, DFT PBE" space_group=P-1 vol_a3_per_atom=15.9 pbc="T T T"
Re 2.284 3.558 1.011
Re 3.549 7.163 0.011
Re 4.797 6.155 3.612
Re 4.760 0.992 3.568
Re 6.009 -0.016 7.169
Re 7.273 3.589 6.169
Mo 2.303 1.169 5.043
Mo 2.295 1.165 2.145
Mo 3.540 3.571 3.595
Mo 4.786 5.005 6.011
Mo 4.778 2.111 5.992
Mo 4.779 5.036 1.188
Mo 4.771 2.142 1.169
Mo 6.017 3.576 3.585
Mo 7.262 5.982 5.036
Mo 7.254 5.978 2.137

---

Relative energies with respect to the most stable structure, expressed in eV/atom: entry w 0.041; entry x 0.000.

---

Entry w
5
Lattice="-3.109 3.109 1.968 3.109 -3.109 1.968 3.109 3.109 -1.968" Properties=species:S:1:pos:R:3 comment="Re4Mo, optimized geometry, DFT PBE" space_group=I4/m vol_a3_per_atom=15.2 pbc="T T T"
Re 1.874 0.594 0.000
Re 2.514 -1.234 1.968
Re 0.594 4.343 0.000
Re 1.234 2.514 1.968
Mo 0.000 0.000 1.968

---

Entry x
5
Lattice="4.607 0.000 0.000 0.000 4.607 0.000 0.000 0.000 4.607" Properties=species:S:1:pos:R:3 comment="Re4Mo, optimized geometry, DFT PBE" space_group=Pm-3m vol_a3_per_atom=19.6 pbc="T T T"
Re 0.000 0.000 0.000
Re 0.000 2.303 2.303
Re 2.303 0.000 2.303
Re 2.303 2.303 0.000
Mo 2.303 2.303 2.303

---

Relative energies with respect to the most stable structure, expressed in eV/atom: entry w 0.000; entry x 2.452.